[1]
The following is a DFT calculation (PBE-GGA) of a geometry-optimized CsRe2 structure.

The structure in POSCAR format:
```
CsRe2
1.0
0.000 3.999 3.999
3.999 0.000 3.999
3.999 3.999 0.000
Re Cs
4 2
Direct
0.625 0.125 0.625 Re
0.625 0.625 0.125 Re
0.125 0.625 0.625 Re
0.625 0.625 0.625 Re
0.250 0.250 0.250 Cs
0.000 0.000 0.000 Cs
```

As for the symmetry: Fd-3m (227). Its total energy is -6.59 eV per atom.

[2]
The following is a DFT calculation (PBE-GGA) of a geometry-optimized YTmFe2 structure.

The structure in POSCAR format:
```
YTmFe2
1.0
-0.583 1.031 -3.600
-3.805 -3.925 -0.508
-5.422 -0.382 0.768
Y Tm Fe
1 1 2
Direct
0.500 0.853 0.853 Y
0.000 0.142 0.142 Tm
0.000 0.447 0.447 Fe
0.500 0.557 0.557 Fe
```

As for the symmetry: Amm2 (38). Its total energy is -6.90 eV per atom. The energy of formation is -15 meV per atom.